Version a
Crystalline TlRePt2 at its relaxed geometry, computed with PBE-GGA.

Geometry as POSCAR:
```
TlRePt2
1.0
9.585 -0.002 -0.001
9.142 2.879 -0.001
9.142 1.404 2.513
Tl Re Pt
1 1 2
Direct
0.750 0.750 0.750
0.250 0.250 0.250
0.507 0.507 0.507
0.993 0.993 0.993
```

Properties
Fermi-level density of states (states/eV per cell): 4.78



Version b
Crystalline TlRePt2 at its relaxed geometry, computed with PBE-GGA.

Geometry as POSCAR:
```
TlRePt2
1.0
-2.954 -4.864 -0.668
-0.839 -3.492 4.465
-0.731 5.041 -2.625
Re Pt Tl
1 2 1
Direct
0.750 0.250 0.500
0.981 0.981 0.000
0.519 0.519 0.000
0.250 0.750 0.500
```

Properties
Fermi-level density of states (states/eV per cell): 4.34



version a takes first place; second place is 265 meV/atom up.



Version a
Crystalline TlRe2Pt at its relaxed geometry, computed with PBE-GGA.

Geometry as POSCAR:
```
TlRe2Pt
1.0
-2.657 -5.659 -0.926
5.373 -2.101 -2.581
2.944 -5.362 2.756
Re Pt Tl
4 2 2
Direct
0.375 0.415 0.750
0.585 0.125 0.250
0.165 0.625 0.250
0.875 0.835 0.750
0.250 0.750 0.500
0.500 0.500 0.000
0.750 0.250 0.500
0.000 0.000 0.000
```

Properties
Fermi-level density of states (states/eV per cell): 7.73



Version b
Crystalline TlRe2Pt at its relaxed geometry, computed with PBE-GGA.

Geometry as POSCAR:
```
TlRe2Pt
1.0
4.916 -0.002 -0.004
4.074 2.753 -0.004
0.897 0.274 4.993
Re Pt Tl
2 1 1
Direct
0.506 0.506 0.468
0.994 0.994 0.032
0.250 0.250 0.250
0.750 0.750 0.750
```

Properties
Fermi-level density of states (states/eV per cell): 3.35



version b takes first place; second place is 1317 meV/atom up.



Version a
Crystalline Tl2RePt at its relaxed geometry, computed with PBE-GGA.

Geometry as POSCAR:
```
Tl2RePt
1.0
-2.108 0.297 -3.256
1.214 -2.382 -1.003
-4.181 -8.062 1.972
Re Tl Pt
1 2 1
Direct
0.500 0.775 0.689
0.500 0.387 0.297
0.000 0.879 0.950
0.000 0.460 0.564
```

Properties
Fermi-level density of states (states/eV per cell): 2.51



Version b
Crystalline Tl2RePt at its relaxed geometry, computed with PBE-GGA.

Geometry as POSCAR:
```
Tl2RePt
1.0
-2.324 -2.239 -1.517
3.079 -0.973 -3.280
1.646 -3.447 2.568
Tl Pt Re
2 1 1
Direct
0.000 0.500 0.500
0.000 0.000 0.000
0.500 0.500 0.000
0.500 0.000 0.500
```

Properties
Fermi-level density of states (states/eV per cell): 2.39



version a takes first place; second place is 257 meV/atom up.



Version a
Crystalline Tl2RePt at its relaxed geometry, computed with PBE-GGA.

Geometry as POSCAR:
```
Tl2RePt
1.0
4.178 0.000 0.000
0.000 4.178 0.000
2.089 2.089 9.841
Tl Pt Re
4 2 2
Direct
0.622 0.125 0.250
0.375 0.378 0.750
0.128 0.625 0.250
0.875 0.872 0.750
0.750 0.250 0.500
0.000 0.000 0.000
0.250 0.750 0.500
0.500 0.500 0.000
```

Properties
Fermi-level density of states (states/eV per cell): 7.05



Version b
Crystalline Tl2RePt at its relaxed geometry, computed with PBE-GGA.

Geometry as POSCAR:
```
Tl2RePt
1.0
3.050 0.000 0.000
-1.374 2.722 0.000
0.000 0.000 9.348
Tl Pt Re
2 1 1
Direct
0.000 0.000 0.497
0.000 0.000 0.003
0.500 0.500 0.250
0.500 0.500 0.750
```

Properties
Fermi-level density of states (states/eV per cell): 2.62



version b takes first place; second place is 231 meV/atom up.